No. 1
# AsSe2Cl GGA-PBE optimized geometry
# **E_form (uncorrected)**: 465.0 meV/atom
# **Volume**: 20.0 A^3/atom
# **ΔE to the lowest computed polymorph**: 63.7 kJ per mole of atoms
data_AsSe2Cl
_cell_length_a 6.842
_cell_length_b 6.842
_cell_length_c 6.842
_cell_angle_alpha 90.00
_cell_angle_beta 90.00
_cell_angle_gamma 90.00
_space_group_name_H-M_alt 'F m -3 m'
_space_group_IT_number 225
_space_group_name_Hall '-F 4 2 3'
loop_
_atom_site_label
_atom_site_type_symbol
_atom_site_fract_x
_atom_site_fract_y
_atom_site_fract_z
As1 As 0.000 0.000 0.000
Se1 Se 0.250 0.250 0.250
Cl1 Cl 0.000 0.000 0.500

No. 2
# Tm3GeTe2 GGA-PBE optimized geometry
# **E_form (uncorrected)**: -1141.6 meV/atom
# **Volume**: 27.8 A^3/atom
# **ΔE to the lowest computed polymorph**: 6.8 kJ per mole of atoms
data_Tm3GeTe2
_cell_length_a 12.893
_cell_length_b 7.286
_cell_length_c 7.100
_cell_angle_alpha 90.00
_cell_angle_beta 90.00
_cell_angle_gamma 90.00
_space_group_name_H-M_alt 'C m c m'
_space_group_IT_number 63
_space_group_name_Hall '-C 2c 2'
loop_
_atom_site_label
_atom_site_type_symbol
_atom_site_fract_x
_atom_site_fract_y
_atom_site_fract_z
Tm1 Tm 0.000 0.000 0.000
Tm2 Tm 0.144 0.500 0.000
Ge1 Ge 0.000 0.321 0.250
Te1 Te 0.174 0.159 0.750